The following is a GGA-PBE calculation of an optimized crystal structure of Sc6NiHg5, from Alexandria.

abc: 15.4365 7.0120 4.9033
angles: 90.00 108.46 90.00
Last column: nearest neighbours and their distance in Å.
Space group C2/m (No. 12)
Asymmetric unit:
Sc: 0.0000 0.2271 0.0000  2 Ni 2.92, 6 Hg 3.04-3.11, 1 Sc 3.18
Sc: 0.1573 0.2359 0.6570  1 Ni 2.84, 7 Hg 2.96-3.08
Ni: 0.0000 0.0000 0.5000  8 Sc 2.84-2.92
Hg: 0.0000 0.5000 0.5000  8 Sc 2.96-3.11
Hg: 0.1653 0.5000 0.1648  8 Sc 3.07-3.08, 2 Hg 3.36-3.37
Hg: 0.1770 0.0000 0.1766  8 Sc 2.97-3.05

Output
ΔE_f = -0.42 eV per atom
volume = 503 Å³ per cell
VASP energy = -4.19 eV/atom